The following is a GGA-PBE calculation of a relaxed structure of Sc2As2Pb, from Alexandria via LeMat-Bulk.

CIF file:
```
data_Sc2As2Pb
_chemical_formula_sum 'Sc4 As4 Pb2'
_symmetry_space_group_name_H-M 'I 4/m m m'
_symmetry_Int_Tables_number 139
_symmetry_space_group_name_Hall '-I 4 2'
_cell_length_a 5.1560
_cell_length_b 5.1560
_cell_length_c 8.8065
_cell_angle_alpha 90.00
_cell_angle_beta 90.00
_cell_angle_gamma 90.00
loop_
_atom_site_label
_atom_site_fract_x
_atom_site_fract_y
_atom_site_fract_z
Sc1 0.0000 0.5000 0.2500
As1 0.0000 0.0000 0.1508
Pb1 0.0000 0.0000 0.5000
```

For the final energy, the calculation gives -5.77 eV/atom. As for the formation energy: -0.6389 eV per atom. Its crystal system is tetragonal.